The following is a PBE calculation of a geometry-optimized Tl3GaSn2 structure, from the Alexandria database.

Summary:
D(E_F)	2.66	states/eV/f.u.
SG	C2/m
final energy	-2.973	eV per atom

Cell lengths 8.8984, 8.8984, 12.1547 Å; angles 125.17, 125.17, 28.03 degrees
Fractional positions:
Tl 0.0846 0.0846 0.1719
Tl 0.2257 0.2257 0.5958
Tl 0.3512 0.3512 0.9909
Tl 0.6488 0.6488 0.0091
Tl 0.7743 0.7743 0.4042
Tl 0.9154 0.9154 0.8281
Ga 0.3983 0.3983 0.3871
Ga 0.6017 0.6017 0.6129
Sn 0.1168 0.1168 0.7767
Sn 0.4522 0.4522 0.6591
Sn 0.5478 0.5478 0.3409
Sn 0.8832 0.8832 0.2233

=====

The following is a PBE calculation of a geometry-optimized Dy4Ho2Th5 structure, from the Alexandria database.

Summary:
D(E_F)	17.50	states/eV/f.u.
SG	P2/m
final energy	-5.749	eV per atom

Cell lengths 8.7998, 3.4662, 11.6285 Å; angles 90.00, 94.59, 90.00 degrees
Fractional positions:
Dy 0.1597 0.0000 0.3999
Dy 0.2924 0.0000 0.9463
Dy 0.7076 0.0000 0.0537
Dy 0.8403 0.0000 0.6001
Ho 0.0575 0.5000 0.1360
Ho 0.9425 0.5000 0.8640
Th 0.2031 0.5000 0.6736
Th 0.4279 0.5000 0.2097
Th 0.5000 0.5000 0.5000
Th 0.5721 0.5000 0.7903
Th 0.7969 0.5000 0.3264

=====

The following is a PBE calculation of a geometry-optimized Na3Be2TeO6 structure, from the Alexandria database.

Summary:
D(E_F)	2.24	states/eV/f.u.
formation energy (no corrections)	-1697.5	meV/atom
SG	P-3m1
final energy	-5.389	eV per atom

Cell lengths 5.4107, 5.4107, 6.2137 Å; angles 90.00, 90.00, 120.00 degrees
Fractional positions:
Na 0.0000 0.0000 0.0000
Na 0.3333 0.6667 0.7623
Na 0.6667 0.3333 0.2377
Be 0.3333 0.6667 0.2994
Be 0.6667 0.3333 0.7006
Te 0.0000 0.0000 0.5000
O 0.1695 0.3389 0.2884
O 0.1695 0.8305 0.2884
O 0.3389 0.1695 0.7116
O 0.6611 0.8305 0.2884
O 0.8305 0.1695 0.7116
O 0.8305 0.6611 0.7116

=====

- Among the records above, which one has the lowest D(E_F)?
  Na3Be2TeO6

=====

- Among the records above, which one has the lowest D(E_F)?
  Na3Be2TeO6